Fe2TeMo | PBE | optimized geometry

Structure (POSCAR):
```
Fe2TeMo
1.0
-2.640 2.640 5.802
2.640 -2.640 5.802
2.640 2.640 -5.802
Fe Te Mo
4 2 2
direct
0.095 0.625 0.970
0.375 0.345 0.470
0.655 0.125 0.030
0.875 0.905 0.530
0.250 0.750 0.500
0.500 0.500 0.000
0.000 0.000 0.000
0.750 0.250 0.500
```

Properties
The spin magnetization comes out at 0.0 Bohr magnetons per cell. The calculation puts the density of states at the Fermi level at 6.531 states/eV/cell. The electronic total energy is -6.780 eV/atom. The energy above the most stable polymorph in this dataset is 604 meV per atom. The space-group type is I-42d (122). The volume comes out at 161.74 Å³ per cell.